# 1
First-principles (PBE-GGA) data for CdCu2Pt2 after structural relaxation, as listed in the Alexandria database.

Cell and atoms, written as extended XYZ:
```
5
Lattice="-0.386 -2.168 -2.867 -1.368 -2.577 2.133 -6.689 -0.077 -1.320" Properties=species:S:1:pos:R:3 pbc="T T T"
Cu -3.976 -2.309 -2.277
Cu -4.467 -2.513 0.223
Cd 0.000 0.000 0.000
Pt -2.110 -1.886 -0.569
Pt -6.333 -2.936 -1.484
```

Energy relative to the elements   -0.007 eV per atom
Excess energy over the best structure of this formula in the dataset   0.110 eV per atom

# 2
First-principles (PBE-GGA) data for Cd2CuPt after structural relaxation, as listed in the Alexandria database.

Cell and atoms, written as extended XYZ:
```
4
Lattice="-3.011 -3.132 -0.772 -0.054 -0.663 2.899 -3.919 3.223 2.210" Properties=species:S:1:pos:R:3 pbc="T T T"
Cd -3.797 2.444 4.893
Cd -2.684 -0.801 1.109
Pt -4.510 0.511 2.909
Cu -1.952 1.116 3.089
```

Energy relative to the elements   -0.136 eV per atom

# 3
First-principles (PBE-GGA) data for Cd2CuPt after structural relaxation, as listed in the Alexandria database.

Cell and atoms, written as extended XYZ:
```
4
Lattice="-4.981 1.863 0.482 -4.917 0.379 -2.048 -2.716 -3.518 1.995" Properties=species:S:1:pos:R:3 pbc="T T T"
Cd -9.877 2.005 -1.425
Cd -9.493 -0.702 0.172
Pt -2.831 -0.252 0.077
Cu -6.617 -0.722 0.256
```

Energy relative to the elements   -0.145 eV per atom

# 4
First-principles (PBE-GGA) data for Cd3CuPt6 after structural relaxation, as listed in the Alexandria database.

Cell and atoms, written as extended XYZ:
```
20
Lattice="-3.304 -2.836 -1.648 5.357 -4.638 -2.759 -2.670 -2.396 9.480" Properties=species:S:1:pos:R:3 pbc="T T T"
Pt -0.751 -2.986 3.359
Pt -2.812 -3.024 7.556
Pt -1.651 -4.385 0.993
Pt -0.196 -7.989 4.280
Pt 1.034 -5.485 4.080
Pt 0.134 -6.884 1.715
Pt -0.420 -1.881 0.793
Pt 3.089 -5.440 -0.118
Pt -2.060 -6.863 6.079
Pt 2.196 -6.847 -2.483
Pt 1.443 -3.008 -1.006
Pt -3.706 -4.430 5.191
Cd 1.152 -4.199 1.629
Cd -1.325 -3.223 -1.662
Cd 0.330 -5.639 -0.823
Cd 0.708 -6.647 6.735
Cd -1.769 -5.671 3.444
Cd -0.947 -4.232 5.896
Cu 2.839 -6.556 2.303
Cu -3.456 -3.315 2.770
```

Energy relative to the elements   -0.190 eV per atom

# 5
First-principles (PBE-GGA) data for Cd2Cu2Pt after structural relaxation, as listed in the Alexandria database.

Cell and atoms, written as extended XYZ:
```
10
Lattice="-1.869 4.595 5.560 -5.235 -4.815 2.219 1.982 -1.338 1.772" Properties=species:S:1:pos:R:3 pbc="T T T"
Cd -2.132 -1.051 1.591
Cd -5.146 -2.486 3.878
Cd -1.959 2.266 3.902
Cd -4.972 0.830 6.188
Cu -2.395 1.552 6.350
Cu -2.728 -3.111 3.201
Cu -0.465 0.170 3.148
Cu -4.657 -1.729 6.403
Pt -3.552 -0.110 3.890
Pt 0.000 0.000 0.000
```

Energy relative to the elements   0.139 eV per atom
Excess energy over the best structure of this formula in the dataset   0.145 eV per atom

# 6
First-principles (PBE-GGA) data for CdCuPt4 after structural relaxation, as listed in the Alexandria database.

Cell and atoms, written as extended XYZ:
```
6
Lattice="2.557 -4.593 -0.579 0.398 -3.338 4.082 -2.703 -4.546 -0.028" Properties=species:S:1:pos:R:3 pbc="T T T"
Cu 0.000 0.000 0.000
Pt -1.260 -6.953 1.288
Pt 0.293 -6.348 3.347
Pt 0.094 -4.676 1.302
Pt 1.375 -6.977 1.012
Cd 0.188 -9.358 2.606
```

Energy relative to the elements   0.002 eV per atom
Excess energy over the best structure of this formula in the dataset   0.157 eV per atom

# 7
First-principles (PBE-GGA) data for RbCd2CuPt after structural relaxation, as listed in the Alexandria database.

Cell and atoms, written as extended XYZ:
```
5
Lattice="-2.217 4.674 1.225 -2.301 0.164 -4.790 -4.001 -2.380 1.840" Properties=species:S:1:pos:R:3 pbc="T T T"
Cd -1.150 0.082 -2.395
Cd -1.109 2.337 0.613
Cu -2.001 -1.190 0.920
Pt 0.000 0.000 0.000
Rb -4.259 1.229 -0.862
```

Energy relative to the elements   -0.034 eV per atom

# 8
First-principles (PBE-GGA) data for RbCdCuPt2 after structural relaxation, as listed in the Alexandria database.

Cell and atoms, written as extended XYZ:
```
5
Lattice="-2.102 -4.026 -1.537 3.906 -0.618 -3.725 2.585 -2.547 3.134" Properties=species:S:1:pos:R:3 pbc="T T T"
Pt 1.293 -1.273 1.567
Pt -1.051 -2.013 -0.768
Cd 2.195 -3.595 -1.064
Rb 1.953 -0.309 -1.862
Cu 0.000 0.000 0.000
```

Energy relative to the elements   0.632 eV per atom

# 9
First-principles (PBE-GGA) data for CdCu2PtRh after structural relaxation, as listed in the Alexandria database.

Cell and atoms, written as extended XYZ:
```
5
Lattice="4.552 0.000 0.000 0.000 4.989 0.000 0.000 0.000 4.552" Properties=species:S:1:pos:R:3 pbc="T T T"
Cu 0.000 0.000 2.276
Cu 2.276 0.000 0.000
Cd 0.000 2.494 0.000
Rh 0.000 0.000 0.000
Pt 2.276 2.494 2.276
```

Energy relative to the elements   1.089 eV per atom

# 10
First-principles (PBE-GGA) data for Cd2Cu7Sb2Pt after structural relaxation, as listed in the Alexandria database.

Cell and atoms, written as extended XYZ:
```
12
Lattice="3.616 -0.003 -0.036 0.002 3.616 -0.036 1.603 1.601 15.841" Properties=species:S:1:pos:R:3 pbc="T T T"
Cu 1.828 3.633 1.889
Cu 3.393 1.581 13.880
Cu 3.636 1.823 1.889
Cu 1.585 3.391 13.880
Cu 1.809 1.807 -0.036
Cu 1.801 1.799 7.153
Cu 3.419 3.415 8.616
Pt 0.000 0.000 0.000
Sb 1.622 1.620 9.792
Sb 3.598 3.594 5.977
Cd 3.381 3.377 11.762
Cd 1.840 1.837 4.006
```

Formation energy (no corrections)   0.0782 eV per atom

# 11
First-principles (PBE-GGA) data for ScCdCuPt after structural relaxation, as listed in the Alexandria database.

Cell and atoms, written as extended XYZ:
```
4
Lattice="4.609 0.000 0.000 2.304 3.991 0.000 2.304 1.330 3.763" Properties=species:S:1:pos:R:3 pbc="T T T"
Sc 0.000 0.000 0.000
Cd 4.609 2.661 1.881
Cu 2.304 1.330 0.941
Pt 6.913 3.991 2.822
```

Energy relative to the elements   -0.547 eV per atom

# 12
First-principles (PBE-GGA) data for ScCd2CuPt after structural relaxation, as listed in the Alexandria database.

Cell and atoms, written as extended XYZ:
```
5
Lattice="-2.673 3.265 -3.024 -1.034 -3.685 -3.064 -4.313 -1.033 2.698" Properties=species:S:1:pos:R:3 pbc="T T T"
Cd -1.337 1.632 -1.512
Cd -2.156 -0.516 1.349
Cu -4.010 -0.726 -1.695
Sc -0.517 -1.842 -1.532
Pt 0.000 0.000 0.000
```

Energy relative to the elements   0.158 eV per atom

# 13
First-principles (PBE-GGA) data for SmCdCuPt after structural relaxation, as listed in the Alexandria database.

Cell and atoms, written as extended XYZ:
```
4
Lattice="-0.436 -0.444 -4.796 -4.114 -1.680 -1.909 -2.922 2.976 -2.448" Properties=species:S:1:pos:R:3 pbc="T T T"
Sm 0.000 0.000 0.000
Cu -5.604 0.639 -6.865
Cd -3.736 0.426 -4.577
Pt -1.868 0.213 -2.288
```

Energy relative to the elements   -0.501 eV per atom

| no. | DOS at the Fermi energy (states/eV/atom) |
| --- | --- |
| 1 | 0.37 |
| 2 | 0.44 |
| 3 | 0.31 |
| 4 | 0.75 |
| 5 | 0.35 |
| 6 | 0.82 |
| 7 | 0.22 |
| 8 | 0.44 |
| 9 | 1.26 |
| 10 | 0.31 |
| 11 | 0.62 |
| 12 | 0.42 |
| 13 | 0.65 |